Compound: AlTl4F6
Source: the Alexandria database
Functional: PBE
Structure: relaxed

Formation energy from raw total energies, eV/atom: -2.198
DOS(E_F), states/eV per cell: 4.71

a b c (Å): 7.776 7.776 8.326
angles (deg): 90.00 90.00 90.00
Positions (direct):
Al: 0.000 0.000 0.000
Al: 0.500 0.500 0.500
Tl: 0.172 0.328 0.250
Tl: 0.172 0.328 0.750
Tl: 0.328 0.828 0.250
Tl: 0.328 0.828 0.750
Tl: 0.672 0.172 0.250
Tl: 0.672 0.172 0.750
Tl: 0.828 0.672 0.250
Tl: 0.828 0.672 0.750
F: 0.000 0.000 0.222
F: 0.000 0.000 0.778
F: 0.086 0.779 0.000
F: 0.221 0.086 0.000
F: 0.279 0.586 0.500
F: 0.414 0.279 0.500
F: 0.500 0.500 0.278
F: 0.500 0.500 0.722
F: 0.586 0.721 0.500
F: 0.721 0.414 0.500
F: 0.779 0.914 0.000
F: 0.914 0.221 0.000